No. 1
An optimized crystal structure of PPdRuN. Source: the Alexandria database, functional GGA-PBE.

The calculation puts the energy above the most stable polymorph in this dataset at 0.0832 eV per atom. Its raw formation energy is 0.15 eV per atom. The magnetic moment comes out at 0.000 μB per atom.

```
PPdRuN
1.0
4.3749 0.0000 0.0000
0.0000 3.2853 0.0000
-0.8418 0.0000 4.3153
P Pd Ru N
1 1 1 1
direct
0.0000 0.0000 0.0000
0.7373 0.0000 0.4829
0.6358 0.5000 0.9380
0.3793 0.0000 0.0685
```

No. 2
An optimized crystal structure of LaZn2Te. Source: the Alexandria database, functional GGA-PBE.

Its raw formation energy is -0.34 eV per atom. The magnetic moment comes out at 0.132 μB per atom.

```
LaZn2Te
1.0
3.8593 0.0000 0.0000
0.0000 3.8593 0.0000
0.0000 0.0000 6.6268
La Zn Te
1 2 1
direct
0.0000 0.0000 0.0000
0.5000 0.5000 0.2856
0.5000 0.5000 0.7144
0.0000 0.0000 0.5000
```

No. 3
An optimized crystal structure of PaSe3. Source: the Alexandria database, functional GGA-PBE.

Its raw formation energy is -0.72 eV per atom. The magnetic moment comes out at 0.179 μB per atom.

```
PaSe3
1.0
3.7966 0.0000 0.0000
0.0000 5.4002 0.0000
0.0000 0.0000 4.3665
Pa Se
1 3
direct
0.0000 0.0000 0.0000
0.0000 0.5000 0.6565
0.5000 0.0000 0.5220
0.5000 0.5000 0.1341
```